A plane-wave DFT calculation with GGA-PBE was carried out for crystalline CeTlZnCu at its relaxed geometry.

Energy of formation from the pure elements   -0.147 eV/atom
Total magnetization   0.6 μB/f.u.

a = 4.896 Å, b = 4.896 Å, c = 4.896 Å
α = 60.00°, β = 60.00°, γ = 60.00°
Sites, in units of the cell vectors:
1 Ce 0.000 0.000 0.000
2 Tl 0.500 0.500 0.500
3 Zn 0.250 0.250 0.250
4 Cu 0.750 0.750 0.750